Density functional theory data (PBE) for crystalline PuScPtAu at its relaxed geometry.

Values from the calculation:
DOS at the Fermi energy in states/eV/atom: 3.035
SG: F-43m, No. 216
Energy of formation from the pure elements in meV per atom: -695

Lattice parameters (Å, degrees): 4.9171 4.9171 4.9171 60.00 60.00 60.00
Each line ends with the local moment (μB).
Positions (direct):
Sc: 0.5000 0.5000 0.5000  0.14
Au: 0.7500 0.7500 0.7500  0.03
Pt: 0.2500 0.2500 0.2500  -0.04
Pu: 0.0000 0.0000 0.0000  5.17